No. 1
CuIO2: relaxed, PBE-GGA.

ΔE_f (raw): 0.7 eV/f.u.
Crystal system: tetragonal

Unit cell a=5.5890 b=5.5890 c=7.5864 alpha=90.00 beta=90.00 gamma=90.00
Space group I-42d (No. 122)
Inequivalent atoms, fractional coordinates:
Cu: 0.0000 0.0000 0.0000 [4 per cell]
I: 0.0000 0.0000 0.5000 [4 per cell]
O: 0.1859 0.2500 0.1250 [8 per cell]

=====

No. 2
LiAc2Ni3Sn4: relaxed, PBE-GGA.

Crystal system: tetragonal
DFT formation energy: -534.2 meV per atom

Unit cell a=4.6021 b=4.6021 c=10.4914 alpha=90.00 beta=90.00 gamma=90.00
Space group P-4m2 (No. 115)
Inequivalent atoms, fractional coordinates:
Li: 0.0000 0.0000 0.0000 [1 per cell]
Ac: 0.0000 0.5000 0.7565 [2 per cell]
Ni: 0.0000 0.5000 0.3762 [2 per cell]
Ni: 0.5000 0.5000 0.0000 [1 per cell]
Sn: 0.0000 0.0000 0.5000 [1 per cell]
Sn: 0.0000 0.5000 0.1282 [2 per cell]
Sn: 0.5000 0.5000 0.5000 [1 per cell]

=====

No. 3
BaGeIr2: relaxed, PBE-GGA.

Crystal system: tetragonal
DFT formation energy: 186.8 meV per atom

Unit cell a=7.6203 b=7.6203 c=6.5229 alpha=90.00 beta=90.00 gamma=90.00
Space group I-42d (No. 122)
Inequivalent atoms, fractional coordinates:
Ba: 0.0000 0.0000 0.0000 [4 per cell]
Ge: 0.0000 0.0000 0.5000 [4 per cell]
Ir: 0.1553 0.7500 0.6250 [8 per cell]

=====

No. 4
Mg4PPt: relaxed, PBE-GGA.

Crystal system: cubic
DFT formation energy: 152.5 meV per atom

Unit cell a=7.6856 b=7.6856 c=7.6856 alpha=90.00 beta=90.00 gamma=90.00
Space group F-43m (No. 216)
Inequivalent atoms, fractional coordinates:
Mg: 0.1254 0.1254 0.1254 [16 per cell]
P: 0.2500 0.2500 0.7500 [4 per cell]
Pt: 0.0000 0.0000 0.5000 [4 per cell]

=====

No. 5
AcSmDy2: relaxed, PBE-GGA.

Energy above the lowest structure with this stoichiometry: 0.0 kJ per mole of atoms
Crystal system: trigonal
DFT formation energy: 48.1 meV per atom

Unit cell a=3.7155 b=3.7155 c=35.3191 alpha=90.00 beta=90.00 gamma=120.00
Space group R3m (No. 160, hexagonal axes)
Inequivalent atoms, fractional coordinates:
Ac: 0.0000 0.0000 0.0000 [3 per cell]
Sm: 0.0000 0.0000 0.1662 [3 per cell]
Dy: 0.0000 0.0000 0.4190 [3 per cell]
Dy: 0.0000 0.0000 0.5810 [3 per cell]

=====

No. 6
Sr2BeF6: relaxed, PBE-GGA.

ΔE_f (raw): -31.3 eV/f.u.
Energy above the lowest structure with this stoichiometry: 12.2 kJ per mole of atoms
Crystal system: tetragonal

Unit cell a=5.1144 b=5.1144 c=10.2013 alpha=90.00 beta=90.00 gamma=90.00
Space group P4_2/mnm (No. 136)
Inequivalent atoms, fractional coordinates:
Sr: 0.0000 0.0000 0.1650 [4 per cell]
Be: 0.0000 0.0000 0.5000 [2 per cell]
F: 0.1724 0.1724 0.3693 [8 per cell]
F: 0.2495 0.2495 0.0000 [4 per cell]

=====

No. 7
SrYTlCl6: relaxed, PBE-GGA.

ΔE_f (raw): -18.8 eV/f.u.
Crystal system: trigonal

Unit cell a=7.3733 b=7.3733 c=13.4836 alpha=90.00 beta=90.00 gamma=120.00
Space group P-31c (No. 163)
Inequivalent atoms, fractional coordinates:
Sr: 0.3333 0.6667 0.2500 [2 per cell]
Y: 0.3333 0.6667 0.7500 [2 per cell]
Tl: 0.0000 0.0000 0.0000 [2 per cell]
Cl: 0.0256 0.3810 0.6377 [12 per cell]

=====

No. 8
CaBeN2O: relaxed, PBE-GGA.

ΔE_f (raw): 8.0 eV/f.u.
Crystal system: tetragonal

Unit cell a=4.5374 b=4.5374 c=4.2884 alpha=90.00 beta=90.00 gamma=90.00
Space group P4/mmm (No. 123)
Inequivalent atoms, fractional coordinates:
Ca: 0.0000 0.0000 0.0000 [1 per cell]
Be: 0.5000 0.5000 0.5000 [1 per cell]
N: 0.0000 0.5000 0.0000 [2 per cell]
O: 0.0000 0.0000 0.5000 [1 per cell]

=====

No. 9
Sr3TaP4: relaxed, PBE-GGA.

Crystal system: orthorhombic
DFT formation energy: -928.0 meV per atom

Unit cell a=8.6195 b=10.2585 c=9.4870 alpha=90.00 beta=90.00 gamma=90.00
Space group Pnma (No. 62)
Inequivalent atoms, fractional coordinates:
Sr: 0.0604 0.0493 0.1923 [8 per cell]
Sr: 0.1425 0.7500 0.4224 [4 per cell]
Ta: 0.2441 0.7500 0.9778 [4 per cell]
P: 0.9995 0.2500 0.9030 [4 per cell]
P: 0.1312 0.0409 0.5161 [8 per cell]
P: 0.1874 0.7500 0.7369 [4 per cell]

=====

No. 10
HfNi5B2: relaxed, PBE-GGA.

Crystal system: orthorhombic
DFT formation energy: -452.0 meV per atom

Unit cell a=3.3996 b=6.1377 c=8.1213 alpha=90.00 beta=90.00 gamma=90.00
Space group Immm (No. 71)
Inequivalent atoms, fractional coordinates:
Hf: 0.0000 0.0000 0.0000 [2 per cell]
Ni: 0.0000 0.1942 0.3454 [8 per cell]
Ni: 0.0000 0.5000 0.0000 [2 per cell]
B: 0.0000 0.5000 0.2504 [4 per cell]

=====

No. 11
KLi2Pb4: relaxed, PBE-GGA.

Crystal system: tetragonal
DFT formation energy: -141.5 meV per atom

Unit cell a=9.6123 b=9.6123 c=4.5659 alpha=90.00 beta=90.00 gamma=90.00
Space group P4_2/mnm (No. 136)
Inequivalent atoms, fractional coordinates:
K: 0.0000 0.0000 0.0000 [2 per cell]
Li: 0.2195 0.2195 0.5000 [4 per cell]
Pb: 0.0713 0.6679 0.5000 [8 per cell]

=====

No. 12
Zn3Au: relaxed, PBE-GGA.

Crystal system: orthorhombic
DFT formation energy: -130.2 meV per atom

Unit cell a=2.9600 b=4.3858 c=4.8081 alpha=90.00 beta=90.00 gamma=90.00
Space group Pmm2 (No. 25)
Inequivalent atoms, fractional coordinates:
Zn: 0.0000 0.0000 0.0000 [1 per cell]
Zn: 0.0000 0.5000 0.3308 [1 per cell]
Zn: 0.5000 0.0000 0.4833 [1 per cell]
Au: 0.5000 0.5000 0.8236 [1 per cell]